Record 1
Below is crystalline HfCoN2F at its relaxed geometry, with properties calculated at the PBE+U level.

## Properties
For the energy above the most stable polymorph in this dataset, the calculation gives 9.9 kJ per mole of atoms. As for the crystal system: tetragonal.

Cell: 3.7869 3.7869 3.6096 Å, 90.00 90.00 90.00°
With the nearest neighbours (Å) after each atom.
Fractional positions:
1 F 0.0000 0.0000 0.5000  2 Co 1.80
2 N 0.0000 0.5000 0.0000  2 Co 1.89
3 N 0.5000 0.0000 0.0000  2 Co 1.89
4 Co 0.0000 0.0000 0.0000  2 F 1.80, 4 N 1.89
5 Hf 0.5000 0.5000 0.5000  8 N 2.62, 4 F 2.68



Record 2
Below is crystalline HfCoN2F at its relaxed geometry, with properties calculated at the PBE+U level.

## Properties
For the energy above the most stable polymorph in this dataset, the calculation gives 0.0 kJ per mole of atoms. As for the crystal system: tetragonal.

Cell: 4.1887 4.1887 4.0088 Å, 90.00 90.00 90.00°
With the nearest neighbours (Å) after each atom.
Fractional positions:
1 N 0.0000 0.5000 0.0000  2 Hf 2.09
2 N 0.5000 0.0000 0.0000  2 Hf 2.09
3 Co 0.5000 0.5000 0.5000  8 N 2.90, 4 F 2.96
4 Hf 0.0000 0.0000 0.0000  2 F 2.00, 4 N 2.09
5 F 0.0000 0.0000 0.5000  2 Hf 2.00



Record 3
Below is crystalline HfCoNF2 at its relaxed geometry, with properties calculated at the PBE+U level.

## Properties
For the energy above the most stable polymorph in this dataset, the calculation gives 0.0 kJ per mole of atoms. As for the crystal system: tetragonal.

Cell: 4.1148 4.1148 4.2111 Å, 90.00 90.00 90.00°
With the nearest neighbours (Å) after each atom.
Fractional positions:
1 Hf 0.0000 0.0000 0.0000  4 F 2.06, 2 N 2.11
2 Co 0.5000 0.5000 0.5000  4 N 2.91, 8 F 2.94
3 F 0.0000 0.5000 0.0000  2 Hf 2.06
4 F 0.5000 0.0000 0.0000  2 Hf 2.06
5 N 0.0000 0.0000 0.5000  2 Hf 2.11



Record 4
Below is crystalline HfCoNF2 at its relaxed geometry, with properties calculated at the PBE+U level.

## Properties
For the energy above the most stable polymorph in this dataset, the calculation gives 69.2 kJ per mole of atoms. As for the crystal system: tetragonal.

Cell: 3.7311 3.7311 4.0731 Å, 90.00 90.00 90.00°
With the nearest neighbours (Å) after each atom.
Fractional positions:
1 Hf 0.5000 0.5000 0.5000  4 N 2.64, 8 F 2.76
2 F 0.0000 0.5000 0.0000  2 Co 1.87
3 F 0.5000 0.0000 0.0000  2 Co 1.87
4 N 0.0000 0.0000 0.5000  2 Co 2.04
5 Co 0.0000 0.0000 0.0000  4 F 1.87, 2 N 2.04